1.
The following is a GGA-PBE calculation of a relaxed structure of CsVBiCl6, from Alexandria via LeMat-Bulk.

The raw total energy comes out at -4.069 eV/atom. The calculated density comes out at 3.2 g cm⁻³.

a = 6.8938 Å, b = 6.8938 Å, c = 7.7528 Å
α = 90.00°, β = 90.00°, γ = 60.00°
With the nearest neighbours (Å) after each atom.
Element x y z (fractional)
Cl: 0.6396 0.3873 0.6894  1 V 2.50, 1 Bi 2.75
Cl: 0.9730 0.3873 0.3105  1 V 2.50, 1 Bi 2.75
Cl: 0.9730 0.6397 0.6894  1 V 2.50, 1 Bi 2.75
Cl: 0.6396 0.9730 0.3105  1 V 2.50, 1 Bi 2.75
Cl: 0.3873 0.9730 0.6894  1 V 2.50, 1 Bi 2.75
Cl: 0.3873 0.6396 0.3105  1 V 2.50, 1 Bi 2.75
Cs: 0.0000 0.0000 0.0000  6 Cl 3.53
Bi: 0.3333 0.3333 0.5000  6 Cl 2.75
V: 0.6666 0.6667 0.5000  6 Cl 2.50

=====

2.
The following is a GGA-PBE calculation of a relaxed structure of Cs2BiWCl6, from Alexandria via LeMat-Bulk.

The raw total energy comes out at -3.964 eV/atom. The calculated density comes out at 4.1 g cm⁻³.

a = 7.4723 Å, b = 7.4723 Å, c = 8.1944 Å
α = 62.87°, β = 62.87°, γ = 90.00°
With the nearest neighbours (Å) after each atom.
Element x y z (fractional)
Cl: 0.2672 0.2672 0.0000  1 W 2.46
Cl: 0.6955 0.6955 0.6090  1 W 2.45
Cl: 0.3045 0.3045 0.3910  1 W 2.45
Cl: 0.7328 0.7328 0.0000  1 W 2.46
Cl: 0.2672 0.7328 0.0000  1 W 2.46
Cl: 0.7328 0.2672 0.0000  1 W 2.46
Bi: 0.0000 0.0000 0.0000  4 Cl 2.82
Cs: 0.2500 0.7500 0.5000  12 Cl 3.80-4.10
Cs: 0.7500 0.2500 0.5000  12 Cl 3.80-4.10
W: 0.5000 0.5000 0.0000  6 Cl 2.45-2.46

=====

3.
The following is a GGA-PBE calculation of a relaxed structure of CsZnBiCl6, from Alexandria via LeMat-Bulk.

The raw total energy comes out at -3.176 eV/atom. The calculated density comes out at 3.2 g cm⁻³.

a = 6.8895 Å, b = 6.8895 Å, c = 7.7515 Å
α = 90.00°, β = 90.00°, γ = 60.00°
With the nearest neighbours (Å) after each atom.
Element x y z (fractional)
Cl: 0.3642 0.0256 0.6918  1 Zn 2.51, 1 Bi 2.74
Cl: 0.0254 0.6103 0.6918  1 Zn 2.51, 1 Bi 2.74
Cl: 0.3645 0.6099 0.3080  1 Zn 2.51, 1 Bi 2.74
Cl: 0.6102 0.0255 0.3082  1 Zn 2.51, 1 Bi 2.74
Cl: 0.0256 0.3642 0.3082  1 Zn 2.51, 1 Bi 2.74
Cl: 0.6099 0.3646 0.6920  1 Zn 2.51, 1 Bi 2.74
Cs: 0.0000 0.0000 0.0000  6 Cl 3.53
Bi: 0.6666 0.6667 0.5000  6 Cl 2.74
Zn: 0.3333 0.3334 0.5000  6 Cl 2.51

=====

4.
The following is a GGA-PBE calculation of a relaxed structure of Cs2ZnBiCl6, from Alexandria via LeMat-Bulk.

The raw total energy comes out at -3.132 eV/atom. The calculated density comes out at 4.0 g cm⁻³.

a = 7.6790 Å, b = 7.6790 Å, c = 7.6207 Å
α = 59.75°, β = 59.75°, γ = 90.00°
With the nearest neighbours (Å) after each atom.
Element x y z (fractional)
Cl: 0.2558 0.7442 0.0000  1 Zn 2.65, 1 Bi 2.78
Cl: 0.2646 0.2646 0.4708  1 Zn 2.52
Cl: 0.7354 0.7354 0.5292  1 Zn 2.52
Cl: 0.7442 0.2558 0.0000  1 Zn 2.65, 1 Bi 2.78
Cl: 0.2558 0.2558 0.0000  1 Zn 2.65, 1 Bi 2.78
Cl: 0.7442 0.7442 0.0000  1 Zn 2.65, 1 Bi 2.78
Zn: 0.5000 0.5000 0.0000  6 Cl 2.52-2.65
Cs: 0.7500 0.2500 0.5000  12 Cl 3.81-3.84
Cs: 0.2500 0.7500 0.5000  12 Cl 3.81-3.84
Bi: 0.0000 0.0000 0.0000  6 Cl 2.78-2.83

=====

5.
The following is a GGA-PBE calculation of a relaxed structure of Cu2Bi2Cl, from Alexandria via LeMat-Bulk.

The raw total energy comes out at -3.589 eV/atom. The calculated density comes out at 8.7 g cm⁻³.

a = 3.5090 Å, b = 3.5090 Å, c = 9.3563 Å
α = 79.19°, β = 79.19°, γ = 90.00°
With the nearest neighbours (Å) after each atom.
Element x y z (fractional)
Cu: 0.2500 0.7500 0.5000  4 Cu 2.48
Cu: 0.7500 0.2500 0.5000  4 Cu 2.48
Bi: 0.6234 0.6234 0.7533  4 Cu 2.88
Bi: 0.3766 0.3766 0.2467  4 Cu 2.88
Cl: 0.0000 0.0000 0.0000  8 Bi 3.33, 4 Cl 3.51

=====

6.
The following is a GGA-PBE calculation of a relaxed structure of Cu5BiCl12, from Alexandria via LeMat-Bulk.

The raw total energy comes out at -3.134 eV/atom. The calculated density comes out at 3.5 g cm⁻³.

a = 6.7366 Å, b = 6.2190 Å, c = 13.3577 Å
α = 99.62°, β = 107.98°, γ = 57.21°
With the nearest neighbours (Å) after each atom.
Element x y z (fractional)
Cl: 0.1597 0.3332 0.3932  2 Cu 2.33
Cl: 0.4929 0.6668 0.3932  2 Cu 2.33
Cl: 0.3239 0.6548 0.8880  1 Cu 2.37
Cl: 0.4084 0.0000 0.1227  2 Cu 2.50, 1 Bi 2.73
Cl: 0.0214 0.6547 0.1120  1 Cu 2.37
Cl: 0.5071 0.3332 0.6068  2 Cu 2.33
Cl: 0.6761 0.3452 0.1120  1 Cu 2.37
Cl: 0.9786 0.3453 0.8880  1 Cu 2.37
Cl: 0.1735 0.0000 0.6066  2 Cu 2.32
Cl: 0.8403 0.6668 0.6068  2 Cu 2.33
Cl: 0.8265 0.0000 0.3934  2 Cu 2.32
Cl: 0.5916 0.0000 0.8773  2 Cu 2.50, 1 Bi 2.73
Cu: 0.1666 0.6668 0.5000  4 Cl 2.32-2.33
Cu: 0.3472 0.3056 0.0000  4 Cl 2.37-2.50
Cu: 0.8334 0.3332 0.5000  4 Cl 2.32-2.33
Cu: 0.5000 0.0000 0.5000  4 Cl 2.33
Cu: 0.6528 0.6944 0.0000  4 Cl 2.37-2.50
Bi: 0.0000 0.0000 0.0000  6 Cl 2.73

=====

7.
The following is a GGA-PBE calculation of a relaxed structure of Cu3BiCl, from Alexandria via LeMat-Bulk.

The raw total energy comes out at -2.937 eV/atom. The calculated density comes out at 5.6 g cm⁻³. The calculation puts the energy above the most stable polymorph in this dataset at 94 meV/atom.

a = 5.0469 Å, b = 5.0469 Å, c = 5.0469 Å
α = 90.00°, β = 90.00°, γ = 90.00°
With the nearest neighbours (Å) after each atom.
Element x y z (fractional)
Cu: 0.0000 0.5000 0.0000  2 Bi 2.52
Cu: 0.5000 0.0000 0.0000  2 Bi 2.52
Cu: 0.0000 0.0000 0.5000  2 Bi 2.52
Bi: 0.0000 0.0000 0.0000  6 Cu 2.52
Cl: 0.5000 0.5000 0.5000  12 Cu 3.57

=====

8.
The following is a GGA-PBE calculation of a relaxed structure of CuBi2Cl8, from Alexandria via LeMat-Bulk.

The raw total energy comes out at -3.168 eV/atom. The calculated density comes out at 4.0 g cm⁻³.

a = 6.9366 Å, b = 7.9320 Å, c = 7.9320 Å
α = 46.80°, β = 88.52°, γ = 88.52°
With the nearest neighbours (Å) after each atom.
Element x y z (fractional)
Cl: 0.7559 0.7572 0.2477  1 Cu 2.29
Cl: 0.7559 0.2477 0.7572  1 Cu 2.29
Cl: 0.9140 0.7907 0.7907  1 Bi 2.46
Cl: 0.0860 0.2093 0.2093  1 Bi 2.46
Cl: 0.5654 0.3054 0.3054  1 Bi 2.72
Cl: 0.2441 0.2428 0.7523  1 Cu 2.29
Cl: 0.2441 0.7523 0.2428  1 Cu 2.29
Cl: 0.4346 0.6946 0.6946  1 Bi 2.72
Cu: 0.0000 0.0000 0.0000  4 Cl 2.29
Bi: 0.4098 0.1358 0.1358  2 Cl 2.46-2.72
Bi: 0.5902 0.8642 0.8642  2 Cl 2.46-2.72

=====

9.
The following is a GGA-PBE calculation of a relaxed structure of Cu2BiCl6, from Alexandria via LeMat-Bulk.

The raw total energy comes out at -3.266 eV/atom. The calculated density comes out at 3.4 g cm⁻³.

a = 6.6722 Å, b = 9.0178 Å, c = 9.0178 Å
α = 81.52°, β = 83.10°, γ = 83.10°
With the nearest neighbours (Å) after each atom.
Element x y z (fractional)
Cl: 0.1105 0.4546 0.2852  2 Cu 2.19-2.21
Cl: 0.6105 0.2852 0.4546  2 Cu 2.19-2.21
Cl: 0.1280 0.1316 0.6158  1 Cu 2.22
Cl: 0.8895 0.5454 0.7148  2 Cu 2.19-2.21
Cl: 0.6280 0.6158 0.1316  1 Cu 2.22
Cl: 0.1220 0.8153 0.9563  2 Bi 2.74-2.78
Cl: 0.3720 0.3842 0.8684  1 Cu 2.22
Cl: 0.3780 0.0437 0.1847  2 Bi 2.74-2.78
Cl: 0.8720 0.8684 0.3842  1 Cu 2.22
Cl: 0.8780 0.1847 0.0437  2 Bi 2.74-2.78
Cl: 0.6220 0.9563 0.8153  2 Bi 2.74-2.78
Cl: 0.3895 0.7148 0.5454  2 Cu 2.19-2.21
Cu: 0.7801 0.4429 0.2946  3 Cl 2.19-2.22
Cu: 0.2801 0.2946 0.4429  3 Cl 2.19-2.22
Cu: 0.2199 0.5571 0.7054  3 Cl 2.19-2.22
Cu: 0.7199 0.7054 0.5571  3 Cl 2.19-2.22
Bi: 0.2500 0.1021 0.8979  6 Cl 2.73-2.78
Bi: 0.7500 0.8979 0.1021  6 Cl 2.73-2.78

=====

10.
The following is a GGA-PBE calculation of a relaxed structure of CuBiCl2, from Alexandria via LeMat-Bulk.

The raw total energy comes out at -3.031 eV/atom. The calculated density comes out at 5.4 g cm⁻³. The calculation puts the energy above the most stable polymorph in this dataset at 304 meV/atom.

a = 6.6158 Å, b = 6.6158 Å, c = 6.6998 Å
α = 60.41°, β = 60.41°, γ = 90.00°
With the nearest neighbours (Å) after each atom.
Element x y z (fractional)
Cu: 0.5000 0.5000 0.0000  4 Cl 2.29
Cu: 0.2500 0.7500 0.5000  4 Cl 2.29
Cl: 0.3750 0.4678 0.7500  2 Cu 2.29
Cl: 0.2178 0.6250 0.2500  2 Cu 2.29
Cl: 0.8750 0.7822 0.7500  2 Cu 2.29
Cl: 0.5322 0.1250 0.2500  2 Cu 2.29
Bi: 0.0000 0.0000 0.0000  4 Cl 3.05
Bi: 0.7500 0.2500 0.5000  4 Cl 3.05

=====

11.
The following is a GGA-PBE calculation of a relaxed structure of CuBi2Cl6, from Alexandria via LeMat-Bulk.

The raw total energy comes out at -3.277 eV/atom. The calculated density comes out at 4.1 g cm⁻³.

a = 6.2600 Å, b = 10.4595 Å, c = 10.4595 Å
α = 112.83°, β = 75.35°, γ = 75.35°
With the nearest neighbours (Å) after each atom.
Element x y z (fractional)
Cl: 0.5548 0.9737 0.7814  1 Cu 2.30
Cl: 0.9452 0.2186 0.0263  1 Cu 2.30
Cl: 0.1170 0.1333 0.6261  1 Cu 2.31, 1 Bi 2.58
Cl: 0.7060 0.2862 0.4325  3 Bi 2.95-3.01
Cl: 0.7940 0.5675 0.7138  3 Bi 2.95-3.01
Cl: 0.3830 0.3739 0.8667  1 Cu 2.31, 1 Bi 2.58
Cl: 0.2060 0.4325 0.2862  3 Bi 2.95-3.01
Cl: 0.6170 0.6261 0.1333  1 Cu 2.31, 1 Bi 2.58
Cl: 0.4452 0.0263 0.2186  1 Cu 2.30
Cl: 0.0548 0.7814 0.9737  1 Cu 2.30
Cl: 0.2940 0.7138 0.5675  3 Bi 2.95-3.01
Cl: 0.8830 0.8667 0.3739  1 Cu 2.31, 1 Bi 2.58
Bi: 0.6628 0.4701 0.2720  2 Cl 2.58-2.60
Bi: 0.1628 0.2720 0.4701  2 Cl 2.58-2.60
Bi: 0.8372 0.7280 0.5299  2 Cl 2.58-2.60
Bi: 0.3372 0.5299 0.7280  2 Cl 2.58-2.60
Cu: 0.7500 0.8203 0.1797  4 Cl 2.30-2.31
Cu: 0.2500 0.1797 0.8203  4 Cl 2.30-2.31

=====

12.
The following is a GGA-PBE calculation of a relaxed structure of Cu2BiCl, from Alexandria via LeMat-Bulk.

The raw total energy comes out at -3.390 eV/atom. The calculated density comes out at 6.5 g cm⁻³. The calculation puts the energy above the most stable polymorph in this dataset at 0 meV/atom.

a = 6.2227 Å, b = 6.2227 Å, c = 6.5806 Å
α = 61.78°, β = 61.78°, γ = 90.00°
With the nearest neighbours (Å) after each atom.
Element x y z (fractional)
Cu: 0.5933 0.1250 0.2500  2 Cl 2.40, 2 Bi 2.64
Cu: 0.3750 0.4067 0.7500  2 Cl 2.40, 2 Bi 2.64
Cu: 0.8750 0.8433 0.7500  2 Cl 2.40, 2 Bi 2.64
Cu: 0.1567 0.6250 0.2500  2 Cl 2.40, 2 Bi 2.64
Cl: 0.5000 0.5000 0.0000  4 Cu 2.40
Cl: 0.2500 0.7500 0.5000  4 Cu 2.40
Bi: 0.7500 0.2500 0.5000  4 Cu 2.64
Bi: 0.0000 0.0000 0.0000  4 Cu 2.64